VASP calculation (PBE) on a geometry-optimized CoPt3Rh structure.

Summary:
M_tot = 13.97 μB/cell
Density = 16.67 g/cm³
Offset from the most stable computed form = 0.0 meV/atom
DOS(E_F) = 1.41 states/eV per atom

Lattice parameters (Å, degrees): 8.622 3.966 8.848 90.00 100.18 90.00
Space group C2/m (No. 12)
Inequivalent atoms, fractional coordinates:
Co  0.220  0.000  0.432 (multiplicity 4)
Pt  0.014  0.500  0.355 (multiplicity 4)
Pt  0.141  0.500  0.951 (multiplicity 4)
Pt  0.203  0.000  0.736 (multiplicity 4)
Rh  0.077  0.000  0.154 (multiplicity 4)